Material: Sr2ScBi2
Method: DFT, PBE
State: optimized geometry

POSCAR file:
```
Sr2ScBi2
1.0
-1.501 7.495 3.521
-0.242 -3.616 7.595
4.747 0.719 0.493
Sc Sr Bi
2 4 4
Direct
0.000 0.000 0.000
0.500 0.500 0.000
0.151 0.651 0.500
0.651 0.849 0.500
0.849 0.349 0.500
0.349 0.151 0.500
0.339 0.839 0.000
0.839 0.661 0.000
0.661 0.161 0.000
0.161 0.339 0.000
```

Results
formation energy from the elements: -656 meV per atom
total energy: -41.47 eV for the cell shown
DOS at the Fermi energy: 2.70 states/eV/cell